*1*
An optimized crystal structure of ScB3Mo. Source: the Alexandria database, functional PBE. Values from VASP.

Summary:
Its total moment is 0.00 μB per formula unit. As for the symmetry: Cmcm.

The structure in Quantum ESPRESSO input format:
```
&SYSTEM
  ibrav = 0, nat = 10, ntyp = 3
/
ATOMIC_SPECIES
Sc 44.96 Sc.upf
Mo 95.94 Mo.upf
B 10.81 B.upf
CELL_PARAMETERS angstrom
3.116 0.000 0.000
0.000 3.332 0.000
0.000 -1.666 9.653
ATOMIC_POSITIONS angstrom
Sc 2.337 1.666 8.282
Sc 0.779 0.000 1.371
Mo 0.779 1.666 5.683
Mo 2.337 0.000 3.970
B 0.779 0.000 9.201
B 0.779 0.000 7.379
B 2.337 0.000 6.423
B 2.337 1.666 2.274
B 2.337 1.666 0.452
B 0.779 1.666 3.229
```

---

*2*
An optimized crystal structure of ScB3Mo. Source: the Alexandria database, functional PBE. Values from VASP.

Summary:
Its total moment is 0.00 μB per formula unit. As for the symmetry: Pm-3m.

The structure in Quantum ESPRESSO input format:
```
&SYSTEM
  ibrav = 0, nat = 5, ntyp = 3
/
ATOMIC_SPECIES
Mo 95.94 Mo.upf
B 10.81 B.upf
Sc 44.96 Sc.upf
CELL_PARAMETERS angstrom
-0.893 -3.326 2.042
1.064 -2.223 -3.155
3.755 -0.162 1.380
ATOMIC_POSITIONS angstrom
Mo 1.963 -2.855 0.133
B -0.447 -1.663 1.021
B 1.878 -0.081 0.690
B 0.532 -1.112 -1.578
Sc 0.000 0.000 0.000
```

---

*3*
An optimized crystal structure of ScB3Mo. Source: the Alexandria database, functional PBE. Values from VASP.

Summary:
Its total moment is 0.00 μB per formula unit. As for the symmetry: Pm-3m.

The structure in Quantum ESPRESSO input format:
```
&SYSTEM
  ibrav = 0, nat = 5, ntyp = 3
/
ATOMIC_SPECIES
B 10.81 B.upf
Mo 95.94 Mo.upf
Sc 44.96 Sc.upf
CELL_PARAMETERS angstrom
-0.831 -0.647 -3.960
2.205 -3.453 0.102
-3.353 -2.110 1.049
ATOMIC_POSITIONS angstrom
B -0.416 -0.324 -1.980
B -1.677 -1.055 0.524
B 1.102 -1.727 0.051
Mo 0.000 0.000 0.000
Sc -0.990 -3.105 -1.405
```

---

Referenced to the most stable arrangement, the calculated values in kJ/mol of atoms are *1* 0.0; *2* 267.9; *3* 118.8.

---

*1*
An optimized crystal structure of ScBMo3. Source: the Alexandria database, functional PBE. Values from VASP.

Summary:
Its total moment is 0.00 μB per formula unit. As for the symmetry: Pm-3m.

The structure in Quantum ESPRESSO input format:
```
&SYSTEM
  ibrav = 0, nat = 5, ntyp = 3
/
ATOMIC_SPECIES
Mo 95.94 Mo.upf
Sc 44.96 Sc.upf
B 10.81 B.upf
CELL_PARAMETERS angstrom
-0.210 0.987 -4.442
2.588 -3.632 -0.930
-3.743 -2.567 -0.393
ATOMIC_POSITIONS angstrom
Mo -1.871 -1.283 -0.197
Mo 1.294 -1.816 -0.465
Mo -0.105 0.494 -2.221
Sc 0.000 0.000 0.000
B -0.683 -2.606 -2.882
```

---

*2*
An optimized crystal structure of ScBMo3. Source: the Alexandria database, functional PBE. Values from VASP.

Summary:
Its total moment is 0.00 μB per formula unit. As for the symmetry: Pm-3m.

The structure in Quantum ESPRESSO input format:
```
&SYSTEM
  ibrav = 0, nat = 5, ntyp = 3
/
ATOMIC_SPECIES
B 10.81 B.upf
Mo 95.94 Mo.upf
Sc 44.96 Sc.upf
CELL_PARAMETERS angstrom
4.289 0.000 0.000
0.000 4.289 0.000
0.000 0.000 4.289
ATOMIC_POSITIONS angstrom
B 0.000 0.000 0.000
Mo 0.000 2.144 0.000
Mo 0.000 0.000 2.144
Mo 2.144 0.000 0.000
Sc 2.144 2.144 2.144
```

---

Referenced to the most stable arrangement, the calculated values in kJ/mol of atoms are *1* 254.5; *2* 0.0.

---

*1*
An optimized crystal structure of ZrScB2Mo. Source: the Alexandria database, functional PBE. Values from VASP.

Summary:
Its total moment is 0.00 μB per formula unit. As for the symmetry: P4/mmm.

The structure in Quantum ESPRESSO input format:
```
&SYSTEM
  ibrav = 0, nat = 5, ntyp = 4
/
ATOMIC_SPECIES
Zr 91.22 Zr.upf
Mo 95.94 Mo.upf
B 10.81 B.upf
Sc 44.96 Sc.upf
CELL_PARAMETERS angstrom
4.216 0.000 0.000
0.000 4.796 0.000
0.000 0.000 4.216
ATOMIC_POSITIONS angstrom
Zr 0.000 2.398 0.000
Mo 2.108 2.398 2.108
B 2.108 0.000 0.000
B 0.000 0.000 2.108
Sc 0.000 0.000 0.000
```

---

*2*
An optimized crystal structure of ZrScB2Mo. Source: the Alexandria database, functional PBE. Values from VASP.

Summary:
Its total moment is 0.00 μB per formula unit. As for the symmetry: P4/mmm.

The structure in Quantum ESPRESSO input format:
```
&SYSTEM
  ibrav = 0, nat = 5, ntyp = 4
/
ATOMIC_SPECIES
Sc 44.96 Sc.upf
B 10.81 B.upf
Mo 95.94 Mo.upf
Zr 91.22 Zr.upf
CELL_PARAMETERS angstrom
4.312 0.000 0.000
0.000 4.484 0.000
0.000 0.000 4.312
ATOMIC_POSITIONS angstrom
Sc 0.000 0.000 0.000
B 0.000 0.000 2.156
B 2.156 0.000 0.000
Mo 0.000 2.242 0.000
Zr 2.156 2.242 2.156
```

---

Referenced to the most stable arrangement, the calculated values in kJ/mol of atoms are *1* 43.0; *2* 0.0.

---

*1*
An optimized crystal structure of BMoSe3. Source: the Alexandria database, functional PBE. Values from VASP.

Summary:
Its total moment is 2.27 μB per formula unit. As for the symmetry: Pm-3m.

The structure in Quantum ESPRESSO input format:
```
&SYSTEM
  ibrav = 0, nat = 5, ntyp = 3
/
ATOMIC_SPECIES
Se 78.96 Se.upf
Mo 95.94 Mo.upf
B 10.81 B.upf
CELL_PARAMETERS angstrom
-2.907 3.305 -0.487
-1.277 -1.696 -3.886
-3.087 -2.411 2.067
ATOMIC_POSITIONS angstrom
Se -1.453 1.653 -0.243
Se -0.639 -0.848 -1.943
Se -1.543 -1.205 1.033
Mo -3.636 -0.401 -1.153
B 0.000 0.000 0.000
```

---

*2*
An optimized crystal structure of BMoSe3. Source: the Alexandria database, functional PBE. Values from VASP.

Summary:
Its total moment is 0.00 μB per formula unit. As for the symmetry: Pm-3m.

The structure in Quantum ESPRESSO input format:
```
&SYSTEM
  ibrav = 0, nat = 5, ntyp = 3
/
ATOMIC_SPECIES
B 10.81 B.upf
Mo 95.94 Mo.upf
Se 78.96 Se.upf
CELL_PARAMETERS angstrom
-4.937 0.008 0.043
0.036 -1.854 4.576
0.024 4.576 1.854
ATOMIC_POSITIONS angstrom
B -2.439 1.365 3.236
Mo 0.000 0.000 0.000
Se 0.018 -0.927 2.288
Se 0.012 2.288 0.927
Se -2.468 0.004 0.021
```

---

Referenced to the most stable arrangement, the calculated values in kJ/mol of atoms are *1* 0.0; *2* 15.7.

---

*1*
An optimized crystal structure of SiBMo3. Source: the Alexandria database, functional PBE. Values from VASP.

Summary:
Its total moment is 0.00 μB per formula unit. As for the symmetry: Cmcm.

The structure in Quantum ESPRESSO input format:
```
&SYSTEM
  ibrav = 0, nat = 10, ntyp = 3
/
ATOMIC_SPECIES
Mo 95.94 Mo.upf
Si 28.09 Si.upf
B 10.81 B.upf
CELL_PARAMETERS angstrom
-3.518 2.785 0.797
-1.452 -0.206 -5.688
-2.347 -3.997 3.609
ATOMIC_POSITIONS angstrom
Mo -3.777 0.615 0.722
Mo -2.498 -0.216 -3.758
Mo -1.882 -0.199 -1.097
Mo -3.540 -2.033 -2.005
Mo -4.819 -1.203 2.476
Mo -5.435 -1.220 -0.185
Si -4.387 0.626 -2.008
Si -2.930 -2.044 0.726
B -1.759 1.393 0.399
B 0.000 0.000 0.000
```

---

*2*
An optimized crystal structure of SiBMo3. Source: the Alexandria database, functional PBE. Values from VASP.

Summary:
Its total moment is 0.00 μB per formula unit. As for the symmetry: Pm-3m.

The structure in Quantum ESPRESSO input format:
```
&SYSTEM
  ibrav = 0, nat = 5, ntyp = 3
/
ATOMIC_SPECIES
B 10.81 B.upf
Si 28.09 Si.upf
Mo 95.94 Mo.upf
CELL_PARAMETERS angstrom
-2.376 3.409 -0.239
-2.224 -1.321 3.261
2.595 1.989 2.576
ATOMIC_POSITIONS angstrom
B 0.000 0.000 0.000
Si -1.002 2.039 2.799
Mo -1.112 -0.660 1.630
Mo 1.298 0.994 1.288
Mo -1.188 1.705 -0.120
```

---

Referenced to the most stable arrangement, the calculated values in kJ/mol of atoms are *1* 0.0; *2* 19.1.

---

*1*
An optimized crystal structure of SrB3Mo. Source: the Alexandria database, functional PBE. Values from VASP.

Summary:
Its total moment is 0.00 μB per formula unit. As for the symmetry: Pm-3m.

The structure in Quantum ESPRESSO input format:
```
&SYSTEM
  ibrav = 0, nat = 5, ntyp = 3
/
ATOMIC_SPECIES
B 10.81 B.upf
Sr 87.62 Sr.upf
Mo 95.94 Mo.upf
CELL_PARAMETERS angstrom
4.275 0.000 0.000
0.000 4.275 0.000
0.000 0.000 4.275
ATOMIC_POSITIONS angstrom
B 2.138 0.000 0.000
B 0.000 2.138 0.000
B 0.000 0.000 2.138
Sr 0.000 0.000 0.000
Mo 2.138 2.138 2.138
```

---

*2*
An optimized crystal structure of SrB3Mo. Source: the Alexandria database, functional PBE. Values from VASP.

Summary:
Its total moment is 0.00 μB per formula unit. As for the symmetry: Pm-3m.

The structure in Quantum ESPRESSO input format:
```
&SYSTEM
  ibrav = 0, nat = 5, ntyp = 3
/
ATOMIC_SPECIES
Mo 95.94 Mo.upf
B 10.81 B.upf
Sr 87.62 Sr.upf
CELL_PARAMETERS angstrom
-0.978 4.140 0.490
-4.169 -0.969 -0.130
-0.015 -0.507 4.252
ATOMIC_POSITIONS angstrom
Mo 0.000 0.000 0.000
B -0.007 -0.253 2.126
B -2.085 -0.485 -0.065
B -0.489 2.070 0.245
Sr -2.581 1.332 2.306
```

---

Referenced to the most stable arrangement, the calculated values in kJ/mol of atoms are *1* 271.3; *2* 0.0.

---

*1*
An optimized crystal structure of SrBMo3. Source: the Alexandria database, functional PBE. Values from VASP.

Summary:
Its total moment is 0.00 μB per formula unit. As for the symmetry: Pm-3m.

The structure in Quantum ESPRESSO input format:
```
&SYSTEM
  ibrav = 0, nat = 5, ntyp = 3
/
ATOMIC_SPECIES
Mo 95.94 Mo.upf
Sr 87.62 Sr.upf
B 10.81 B.upf
CELL_PARAMETERS angstrom
4.437 0.000 0.000
0.000 4.437 0.000
0.000 0.000 4.437
ATOMIC_POSITIONS angstrom
Mo 2.218 0.000 0.000
Mo 0.000 2.218 0.000
Mo 0.000 0.000 2.218
Sr 2.218 2.218 2.218
B 0.000 0.000 0.000
```

---

*2*
An optimized crystal structure of SrBMo3. Source: the Alexandria database, functional PBE. Values from VASP.

Summary:
Its total moment is 0.00 μB per formula unit. As for the symmetry: Pm-3m.

The structure in Quantum ESPRESSO input format:
```
&SYSTEM
  ibrav = 0, nat = 5, ntyp = 3
/
ATOMIC_SPECIES
Mo 95.94 Mo.upf
Sr 87.62 Sr.upf
B 10.81 B.upf
CELL_PARAMETERS angstrom
-1.322 -2.848 -3.560
3.944 -2.574 0.595
-2.288 -2.792 3.083
ATOMIC_POSITIONS angstrom
Mo -1.144 -1.396 1.541
Mo -0.661 -1.424 -1.780
Mo 1.972 -1.287 0.297
Sr 0.000 0.000 0.000
B 0.167 -4.107 0.059
```

---

Referenced to the most stable arrangement, the calculated values in kJ/mol of atoms are *1* 0.0; *2* 303.0.

---

*1*
An optimized crystal structure of Sr2BMo2. Source: the Alexandria database, functional PBE. Values from VASP.

Summary:
Its total moment is 0.00 μB per formula unit. As for the symmetry: I4/mmm.

The structure in Quantum ESPRESSO input format:
```
&SYSTEM
  ibrav = 0, nat = 5, ntyp = 3
/
ATOMIC_SPECIES
Sr 87.62 Sr.upf
Mo 95.94 Mo.upf
B 10.81 B.upf
CELL_PARAMETERS angstrom
6.189 0.000 0.000
0.000 6.189 0.000
3.094 3.094 3.295
ATOMIC_POSITIONS angstrom
Sr 6.189 3.094 1.647
Sr 3.094 6.189 1.647
Mo 6.189 6.189 2.161
Mo 3.094 3.094 1.133
B 0.000 0.000 0.000
```

---

*2*
An optimized crystal structure of Sr2BMo2. Source: the Alexandria database, functional PBE. Values from VASP.

Summary:
Its total moment is 0.00 μB per formula unit. As for the symmetry: P4/mbm.

The structure in Quantum ESPRESSO input format:
```
&SYSTEM
  ibrav = 0, nat = 10, ntyp = 3
/
ATOMIC_SPECIES
Sr 87.62 Sr.upf
Mo 95.94 Mo.upf
B 10.81 B.upf
CELL_PARAMETERS angstrom
-4.366 -1.809 -3.995
3.357 -5.005 -1.402
-2.459 -2.751 3.933
ATOMIC_POSITIONS angstrom
Sr -3.739 -4.486 -1.778
Sr -1.417 -6.722 -1.890
Sr 0.271 -5.079 0.314
Sr -2.051 -2.844 0.426
Mo -1.523 -4.794 -4.305
Mo 1.326 -4.883 -2.586
Mo -2.335 -1.932 -2.811
Mo 0.514 -2.021 -1.092
B -0.504 -3.407 -2.698
B 0.000 0.000 0.000
```

---

Referenced to the most stable arrangement, the calculated values in kJ/mol of atoms are *1* 51.9; *2* 0.0.